# ZrAgSeBr2 PBE optimized geometry
# VASP energy = -3.356 eV per atom
# V = 138.7 Å³/cell
# crystal system = tetragonal
data_ZrAgSeBr2
_space_group_name_H-M_alt 'P 4/m m m'
_space_group_IT_number 123
_space_group_name_Hall '-P 4 2'
_cell_length_a 5.164
_cell_length_b 5.164
_cell_length_c 5.203
_cell_angle_alpha 90.00
_cell_angle_beta 90.00
_cell_angle_gamma 90.00
loop_
_atom_site_label
_atom_site_fract_x
_atom_site_fract_y
_atom_site_fract_z
Zr1 0.000 0.000 0.000
Ag1 0.500 0.500 0.500
Se1 0.500 0.500 0.000
Br1 0.000 0.500 0.500


# TaBrN PBE optimized geometry
# VASP energy = -8.013 eV per atom
# V = 142.7 Å³/cell
# crystal system = triclinic
data_TaBrN
_space_group_name_H-M_alt 'P -1'
_space_group_IT_number 2
_cell_length_a 3.627
_cell_length_b 5.741
_cell_length_c 7.506
_cell_angle_alpha 74.69
_cell_angle_beta 88.48
_cell_angle_gamma 71.59
loop_
_space_group_symop_operation_xyz
'x,y,z'
'-x,-y,-z'
loop_
_atom_site_label
_atom_site_fract_x
_atom_site_fract_y
_atom_site_fract_z
Ta1 0.133 0.238 0.466
Br1 0.076 0.315 0.788
N1 0.328 0.832 0.612


# AsPbW PBE optimized geometry
# VASP energy = -6.735 eV per atom
# V = 64.0 Å³/cell
# ΔE_f = 0.3687 eV per atom
# crystal system = trigonal
data_AsPbW
_space_group_name_H-M_alt 'P 3 m 1'
_space_group_IT_number 156
_cell_length_a 3.2817
_cell_length_b 3.2817
_cell_length_c 6.8615
_cell_angle_alpha 90.00
_cell_angle_beta 90.00
_cell_angle_gamma 120.00
loop_
_space_group_symop_operation_xyz
'x,y,z'
'-y,x-y,z'
'-x+y,-x,z'
'-y,-x,z'
'-x+y,y,z'
'x,x-y,z'
loop_
_atom_site_label
_atom_site_fract_x
_atom_site_fract_y
_atom_site_fract_z
As1 0.0000 0.0000 0.0000
Pb1 0.6667 0.3333 0.4073
W1 0.3333 0.6667 0.7560


# CaMgBeGe2 PBE optimized geometry
# VASP energy = -1.867 eV per atom
# V = 165.9 Å³/cell
# ΔE_f = 1.4446 eV per atom
# crystal system = tetragonal
data_CaMgBeGe2
_space_group_name_H-M_alt 'P 4/m m m'
_space_group_IT_number 123
_space_group_name_Hall '-P 4 2'
_cell_length_a 5.384
_cell_length_b 5.384
_cell_length_c 5.723
_cell_angle_alpha 90.00
_cell_angle_beta 90.00
_cell_angle_gamma 90.00
loop_
_atom_site_label
_atom_site_fract_x
_atom_site_fract_y
_atom_site_fract_z
Ca1 0.000 0.000 0.000
Mg1 0.000 0.000 0.500
Be1 0.500 0.500 0.500
Ge1 0.000 0.500 0.000


Question: Number 1 is which compound?
Answer: ZrAgSeBr2


Question: Among the records above, which one has the highest VASP energy?
Answer: CaMgBeGe2


Please write out number 1 again, unchanged.
# ZrAgSeBr2 PBE optimized geometry
# VASP energy = -3.356 eV per atom
# V = 138.7 Å³/cell
# crystal system = tetragonal
data_ZrAgSeBr2
_space_group_name_H-M_alt 'P 4/m m m'
_space_group_IT_number 123
_space_group_name_Hall '-P 4 2'
_cell_length_a 5.164
_cell_length_b 5.164
_cell_length_c 5.203
_cell_angle_alpha 90.00
_cell_angle_beta 90.00
_cell_angle_gamma 90.00
loop_
_atom_site_label
_atom_site_fract_x
_atom_site_fract_y
_atom_site_fract_z
Zr1 0.000 0.000 0.000
Ag1 0.500 0.500 0.500
Se1 0.500 0.500 0.000
Br1 0.000 0.500 0.500